[1]
Mn2ZnCr: optimized geometry, PBE-GGA.

```
data_Mn2ZnCr
_cell_length_a 2.970
_cell_length_b 4.090
_cell_length_c 8.296
_cell_angle_alpha 90.00
_cell_angle_beta 90.00
_cell_angle_gamma 90.00
_symmetry_space_group_name_H-M 'P 1'
_symmetry_Int_Tables_number 1
loop_
_symmetry_equiv_pos_as_xyz
'x,y,z'
loop_
_atom_site_label
_atom_site_fract_x
_atom_site_fract_y
_atom_site_fract_z
Mn1 0.000 0.000 0.000
Mn2 0.000 0.500 0.243
Mn3 0.500 0.000 0.743
Mn4 0.500 0.500 0.500
Zn1 0.000 0.500 0.759
Zn2 0.500 0.000 0.259
Cr1 0.000 0.000 0.520
Cr2 0.500 0.500 0.020
```

As for the crystal system: orthorhombic. The total magnetization comes out at 2.75 μB per formula unit. For the formation energy, the calculation gives 0.12 eV/atom. The electronic total energy is -57.5 eV/cell.


[2]
MnZnCr2: optimized geometry, PBE-GGA.

```
data_MnZnCr2
_cell_length_a 2.563
_cell_length_b 2.563
_cell_length_c 25.427
_cell_angle_alpha 90.00
_cell_angle_beta 90.00
_cell_angle_gamma 120.00
_symmetry_space_group_name_H-M 'P 1'
_symmetry_Int_Tables_number 1
loop_
_symmetry_equiv_pos_as_xyz
'x,y,z'
loop_
_atom_site_label
_atom_site_fract_x
_atom_site_fract_y
_atom_site_fract_z
Mn1 0.000 0.000 0.000
Mn2 0.333 0.667 0.667
Mn3 0.667 0.333 0.333
Zn1 0.000 0.000 0.500
Zn2 0.333 0.667 0.167
Zn3 0.667 0.333 0.833
Cr1 0.000 0.000 0.256
Cr2 0.000 0.000 0.744
Cr3 0.333 0.667 0.411
Cr4 0.333 0.667 0.923
Cr5 0.667 0.333 0.077
Cr6 0.667 0.333 0.589
```

As for the crystal system: trigonal. The total magnetization comes out at 0.00 μB per formula unit. For the formation energy, the calculation gives 0.24 eV/atom. The electronic total energy is -86.2 eV/cell.


[3]
Mn2ZnCr: optimized geometry, PBE-GGA.

```
data_Mn2ZnCr
_cell_length_a 5.893
_cell_length_b 5.893
_cell_length_c 5.893
_cell_angle_alpha 90.00
_cell_angle_beta 90.00
_cell_angle_gamma 90.00
_symmetry_space_group_name_H-M 'P 1'
_symmetry_Int_Tables_number 1
loop_
_symmetry_equiv_pos_as_xyz
'x,y,z'
loop_
_atom_site_label
_atom_site_fract_x
_atom_site_fract_y
_atom_site_fract_z
Mn1 0.000 0.000 0.000
Mn2 0.000 0.500 0.500
Mn3 0.250 0.250 0.250
Mn4 0.250 0.750 0.750
Mn5 0.500 0.000 0.500
Mn6 0.500 0.500 0.000
Mn7 0.750 0.250 0.750
Mn8 0.750 0.750 0.250
Zn1 0.250 0.250 0.750
Zn2 0.250 0.750 0.250
Zn3 0.750 0.250 0.250
Zn4 0.750 0.750 0.750
Cr1 0.000 0.000 0.500
Cr2 0.000 0.500 0.000
Cr3 0.500 0.000 0.000
Cr4 0.500 0.500 0.500
```

As for the crystal system: cubic. The total magnetization comes out at 1.99 μB per formula unit. For the formation energy, the calculation gives 0.16 eV/atom. The electronic total energy is -114.4 eV/cell.


Question: Number 2 is which compound?
Answer: MnZnCr2


Question: Look up the electronic total energy of the first one.
Answer: -57.5 eV/cell


Question: Among the records above, which one has the highest formation energy?
Answer: MnZnCr2


Copy entry 3 word for word.
Mn2ZnCr: optimized geometry, PBE-GGA.

```
data_Mn2ZnCr
_cell_length_a 5.893
_cell_length_b 5.893
_cell_length_c 5.893
_cell_angle_alpha 90.00
_cell_angle_beta 90.00
_cell_angle_gamma 90.00
_symmetry_space_group_name_H-M 'P 1'
_symmetry_Int_Tables_number 1
loop_
_symmetry_equiv_pos_as_xyz
'x,y,z'
loop_
_atom_site_label
_atom_site_fract_x
_atom_site_fract_y
_atom_site_fract_z
Mn1 0.000 0.000 0.000
Mn2 0.000 0.500 0.500
Mn3 0.250 0.250 0.250
Mn4 0.250 0.750 0.750
Mn5 0.500 0.000 0.500
Mn6 0.500 0.500 0.000
Mn7 0.750 0.250 0.750
Mn8 0.750 0.750 0.250
Zn1 0.250 0.250 0.750
Zn2 0.250 0.750 0.250
Zn3 0.750 0.250 0.250
Zn4 0.750 0.750 0.750
Cr1 0.000 0.000 0.500
Cr2 0.000 0.500 0.000
Cr3 0.500 0.000 0.000
Cr4 0.500 0.500 0.500
```

As for the crystal system: cubic. The total magnetization comes out at 1.99 μB per formula unit. For the formation energy, the calculation gives 0.16 eV/atom. The electronic total energy is -114.4 eV/cell.